# 1
Material: ScCoGe3
Method: DFT, GGA-PBE
State: relaxed

Results
As for the uncorrected energy: -5.389 eV per atom. The space group is Pm-3m (221). The volume comes out at 19.00 Å³/atom. As for the formation energy: 69 meV/atom.

Lattice parameters (Å, degrees): 4.563 4.563 4.563 90.00 90.00 90.00
Sites, in units of the cell vectors:
Sc 0.500 0.500 0.500
Ge 0.000 0.000 0.500
Co 0.000 0.000 0.000
Ge 0.000 0.500 0.000
Ge 0.500 0.000 0.000



# 2
Material: ScCo2Ge4
Method: DFT, GGA-PBE
State: relaxed

Results
As for the uncorrected energy: -5.976 eV per atom. The space group is Pnma (62). The volume comes out at 15.00 Å³/atom. As for the formation energy: -403 meV/atom.

Lattice parameters (Å, degrees): 3.948 6.473 16.440 90.00 90.00 90.00
Sites, in units of the cell vectors:
Ge 0.750 0.777 0.804
Sc 0.250 0.995 0.358
Ge 0.250 0.371 0.032
Ge 0.250 0.129 0.532
Ge 0.250 0.024 0.934
Sc 0.250 0.505 0.858
Sc 0.750 0.005 0.642
Ge 0.250 0.277 0.696
Co 0.250 0.751 0.534
Ge 0.750 0.300 0.319
Ge 0.750 0.871 0.468
Co 0.750 0.249 0.466
Co 0.250 0.749 0.034
Sc 0.750 0.495 0.142
Ge 0.750 0.976 0.066
Co 0.250 0.518 0.287
Ge 0.750 0.629 0.968
Co 0.750 0.251 0.966
Co 0.750 0.018 0.213
Co 0.250 0.982 0.787
Ge 0.750 0.524 0.566
Ge 0.750 0.723 0.304
Ge 0.250 0.223 0.196
Ge 0.250 0.800 0.181
Ge 0.750 0.200 0.819
Ge 0.250 0.700 0.681
Co 0.750 0.482 0.713
Ge 0.250 0.476 0.434



# 3
Material: Sc2Co2Ge
Method: DFT, GGA-PBE
State: relaxed

Results
As for the uncorrected energy: -6.838 eV per atom. The calculation puts the energy above the most stable polymorph in this dataset at 7.2 meV/atom. The space group is Immm (71). The volume comes out at 15.69 Å³/atom. As for the formation energy: -539 meV/atom.

Lattice parameters (Å, degrees): 3.914 5.172 5.054 120.77 112.78 90.00
Sites, in units of the cell vectors:
Sc 0.204 0.704 0.408
Ge 0.000 0.000 0.000
Co 0.500 0.724 0.000
Sc 0.796 0.296 0.592
Co 0.500 0.276 0.000



# 4
Material: Sc3CoGe
Method: DFT, GGA-PBE
State: relaxed

Results
As for the uncorrected energy: -6.305 eV per atom. The calculation puts the energy above the most stable polymorph in this dataset at 0.0 meV/atom. The space group is Pm-3m (221). The volume comes out at 21.28 Å³/atom. As for the formation energy: -162 meV/atom.

Lattice parameters (Å, degrees): 4.739 4.739 4.739 90.00 90.00 90.00
Sites, in units of the cell vectors:
Sc 0.000 0.000 0.500
Sc 0.500 0.000 0.000
Sc 0.000 0.500 0.000
Co 0.000 0.000 0.000
Ge 0.500 0.500 0.500



# 5
Material: Sc2CoGe2
Method: DFT, GGA-PBE
State: relaxed

Results
As for the uncorrected energy: -6.410 eV per atom. The space group is Ibam (72). The volume comes out at 17.86 Å³/atom. As for the formation energy: -610 meV/atom.

Lattice parameters (Å, degrees): 5.503 5.647 6.971 113.90 113.25 90.00
Sites, in units of the cell vectors:
Ge 0.910 0.115 0.820
Ge 0.410 0.704 0.820
Sc 0.839 0.573 0.677
Co 0.750 0.500 0.000
Sc 0.161 0.427 0.323
Sc 0.339 0.104 0.677
Ge 0.090 0.885 0.180
Co 0.250 0.500 0.000
Sc 0.661 0.896 0.323
Ge 0.590 0.296 0.180



# 6
Material: Sc2CoGe2
Method: DFT, GGA-PBE
State: relaxed

Results
As for the uncorrected energy: -6.561 eV per atom. The space group is C2/m (12). The volume comes out at 17.14 Å³/atom. As for the formation energy: -761 meV/atom.

Lattice parameters (Å, degrees): 4.027 5.407 8.729 82.19 76.67 68.13
Sites, in units of the cell vectors:
Sc 0.319 0.254 0.107
Sc 0.495 0.677 0.333
Ge 0.979 0.168 0.875
Ge 0.021 0.832 0.125
Sc 0.505 0.323 0.667
Co 0.779 0.074 0.368
Ge 0.148 0.278 0.426
Ge 0.852 0.722 0.574
Sc 0.681 0.746 0.893
Co 0.221 0.926 0.632



# 7
Material: ScCo2Ge
Method: DFT, GGA-PBE
State: relaxed

Results
As for the uncorrected energy: -6.594 eV per atom. The space group is P4/nmm (129). The volume comes out at 14.80 Å³/atom. As for the formation energy: -304 meV/atom.

Lattice parameters (Å, degrees): 3.634 3.634 8.965 90.00 90.00 90.00
Sites, in units of the cell vectors:
Co 0.500 0.000 0.938
Co 0.000 0.500 0.062
Ge 0.500 0.000 0.664
Co 0.500 0.500 0.500
Sc 0.500 0.000 0.216
Ge 0.000 0.500 0.336
Sc 0.000 0.500 0.784
Co 0.000 0.000 0.500



# 8
Material: Sc4Co2Ge5
Method: DFT, GGA-PBE
State: relaxed

Results
As for the uncorrected energy: -6.287 eV per atom. The space group is Ibam (72). The volume comes out at 16.71 Å³/atom. As for the formation energy: -593 meV/atom.

Lattice parameters (Å, degrees): 5.279 8.184 9.804 114.67 105.62 90.00
Sites, in units of the cell vectors:
Ge 0.403 0.307 0.806
Sc 0.854 0.754 0.707
Co 0.542 0.292 0.584
Co 0.042 0.292 0.584
Sc 0.354 0.954 0.707
Ge 0.712 0.419 0.423
Ge 0.097 0.501 0.194
Co 0.958 0.708 0.416
Sc 0.945 0.229 0.890
Ge 0.597 0.693 0.194
Ge 0.212 0.004 0.423
Ge 0.250 0.000 0.000
Sc 0.055 0.771 0.110
Sc 0.146 0.246 0.293
Sc 0.555 0.339 0.110
Ge 0.788 0.996 0.577
Sc 0.646 0.046 0.293
Co 0.458 0.708 0.416
Sc 0.445 0.661 0.890
Ge 0.288 0.581 0.577
Ge 0.750 0.000 0.000
Ge 0.903 0.499 0.806



# 9
Material: Sc3CoGe3
Method: DFT, GGA-PBE
State: relaxed

Results
As for the uncorrected energy: -6.492 eV per atom. The space group is C2/m (12). The volume comes out at 17.77 Å³/atom. As for the formation energy: -784 meV/atom.

Lattice parameters (Å, degrees): 4.023 5.432 12.428 84.31 80.69 68.27
Sites, in units of the cell vectors:
Sc 0.261 0.251 0.228
Ge 0.963 0.832 0.241
Co 0.758 0.070 0.413
Sc 0.404 0.274 0.919
Sc 0.471 0.675 0.383
Ge 0.037 0.168 0.759
Ge 0.136 0.278 0.449
Sc 0.739 0.749 0.772
Ge 0.871 0.183 0.075
Ge 0.129 0.817 0.925
Sc 0.596 0.726 0.081
Ge 0.864 0.722 0.551
Co 0.242 0.930 0.587
Sc 0.529 0.325 0.617



# 10
Material: Sc3CoGe2
Method: DFT, GGA-PBE
State: relaxed

Results
As for the uncorrected energy: -6.623 eV per atom. The space group is Pnma (62). The volume comes out at 18.54 Å³/atom. As for the formation energy: -734 meV/atom.

Lattice parameters (Å, degrees): 4.000 10.216 10.891 90.00 90.00 90.00
Sites, in units of the cell vectors:
Ge 0.750 0.317 0.508
Sc 0.250 0.798 0.731
Ge 0.750 0.183 0.008
Co 0.750 0.628 0.373
Sc 0.750 0.202 0.269
Co 0.750 0.872 0.873
Sc 0.750 0.941 0.127
Ge 0.250 0.683 0.492
Co 0.250 0.372 0.627
Sc 0.250 0.059 0.873
Ge 0.250 0.999 0.313
Sc 0.750 0.631 0.947
Sc 0.250 0.441 0.373
Sc 0.750 0.869 0.447
Ge 0.250 0.501 0.813
Ge 0.750 0.499 0.187
Sc 0.250 0.369 0.053
Ge 0.750 0.001 0.687
Co 0.250 0.128 0.127
Sc 0.750 0.298 0.769
Sc 0.250 0.702 0.231
Sc 0.250 0.131 0.553
Sc 0.750 0.559 0.627
Ge 0.250 0.817 0.992



# 11
Material: ScCoGe3
Method: DFT, GGA-PBE
State: relaxed

Results
As for the uncorrected energy: -5.730 eV per atom. The space group is C2/m (12). The volume comes out at 16.97 Å³/atom. As for the formation energy: -272 meV/atom.

Lattice parameters (Å, degrees): 5.441 6.100 5.959 120.78 87.40 90.00
Sites, in units of the cell vectors:
Ge 0.754 0.234 0.870
Ge 0.246 0.364 0.130
Sc 0.233 0.276 0.551
Ge 0.734 0.200 0.400
Ge 0.754 0.636 0.870
Sc 0.767 0.724 0.449
Ge 0.246 0.766 0.130
Co 0.500 0.000 0.000
Co 0.000 0.000 0.000
Ge 0.266 0.800 0.600



# 12
Material: ScCo2Ge
Method: DFT, GGA-PBE
State: relaxed

Results
As for the uncorrected energy: -6.215 eV per atom. The space group is I-42d (122). The volume comes out at 15.25 Å³/atom. As for the formation energy: 75 meV/atom.

Lattice parameters (Å, degrees): 6.654 6.654 5.453 52.40 52.40 90.00
Sites, in units of the cell vectors:
Co 0.083 0.625 0.250
Sc 0.250 0.750 0.500
Ge 0.000 0.000 0.000
Sc 0.500 0.500 0.000
Ge 0.750 0.250 0.500
Co 0.667 0.125 0.250
Co 0.875 0.917 0.750
Co 0.375 0.333 0.750



# 13
Material: ScCo5Ge3
Method: DFT, GGA-PBE
State: relaxed

Results
As for the uncorrected energy: -6.452 eV per atom. The space group is Cmcm (63). The volume comes out at 13.97 Å³/atom. As for the formation energy: -262 meV/atom.

Lattice parameters (Å, degrees): 3.906 6.677 10.082 90.00 90.00 107.01
Sites, in units of the cell vectors:
Co 0.188 0.376 0.946
Co 0.452 0.904 0.376
Co 0.452 0.904 0.124
Co 0.548 0.096 0.624
Co 0.812 0.624 0.054
Ge 0.367 0.734 0.921
Sc 0.744 0.488 0.750
Co 0.188 0.376 0.554
Co 0.000 0.000 0.500
Ge 0.923 0.847 0.250
Sc 0.256 0.512 0.250
Co 0.548 0.096 0.876
Ge 0.077 0.153 0.750
Ge 0.633 0.266 0.421
Co 0.000 0.000 0.000
Co 0.812 0.624 0.446
Ge 0.633 0.266 0.079
Ge 0.367 0.734 0.579



# 14
Material: Sc2Co2Ge
Method: DFT, GGA-PBE
State: relaxed

Results
As for the uncorrected energy: -6.845 eV per atom. The calculation puts the energy above the most stable polymorph in this dataset at 0.0 meV/atom. The space group is C2/c (15). The volume comes out at 15.70 Å³/atom. As for the formation energy: -546 meV/atom.

Lattice parameters (Å, degrees): 5.045 5.129 7.187 102.27 90.00 119.46
Sites, in units of the cell vectors:
Ge 0.151 0.000 0.750
Ge 0.849 0.000 0.250
Co 0.280 0.276 0.502
Sc 0.799 0.296 0.648
Sc 0.201 0.704 0.352
Sc 0.503 0.704 0.852
Co 0.004 0.724 0.998
Sc 0.497 0.296 0.148
Co 0.720 0.724 0.498
Co 0.996 0.276 0.002



# 15
Material: Sc2Co2Ge
Method: DFT, GGA-PBE
State: relaxed

Results
As for the uncorrected energy: -6.720 eV per atom. The calculation puts the energy above the most stable polymorph in this dataset at 124.6 meV/atom. The space group is P4/mbm (127). The volume comes out at 15.74 Å³/atom. As for the formation energy: -422 meV/atom.

Lattice parameters (Å, degrees): 6.408 6.408 3.834 90.00 90.00 90.00
Sites, in units of the cell vectors:
Sc 0.181 0.681 0.500
Ge 0.000 0.000 0.000
Co 0.126 0.374 0.000
Co 0.374 0.874 0.000
Sc 0.681 0.819 0.500
Sc 0.319 0.181 0.500
Co 0.874 0.626 0.000
Co 0.626 0.126 0.000
Ge 0.500 0.500 0.000
Sc 0.819 0.319 0.500



# 16
Material: Sc2Co5SiGe2
Method: DFT, GGA-PBE
State: relaxed

Results
As for the uncorrected energy: -6.669 eV per atom. For the formation energy without anion corrections, the calculation gives -0.384 eV per atom. The space group is P4/mbm (127). The volume comes out at 13.51 Å³/atom.

Lattice parameters (Å, degrees): 3.267 9.095 9.095 90.00 90.00 90.00
Sites, in units of the cell vectors:
Co 0.500 0.303 0.562
Co 0.500 0.562 0.697
Sc 0.000 0.828 0.672
Ge 0.000 0.373 0.127
Co 0.500 0.000 0.500
Co 0.500 0.803 0.938
Co 0.500 0.062 0.803
Si 0.000 0.500 0.500
Ge 0.000 0.873 0.373
Co 0.500 0.197 0.062
Sc 0.000 0.672 0.172
Ge 0.000 0.627 0.873
Co 0.500 0.697 0.438
Si 0.000 0.000 0.000
Ge 0.000 0.127 0.627
Co 0.500 0.938 0.197
Co 0.500 0.500 0.000
Sc 0.000 0.328 0.828
Sc 0.000 0.172 0.328
Co 0.500 0.438 0.303



# 17
Material: Sc2Co5Si2Ge
Method: DFT, GGA-PBE
State: relaxed

Results
As for the uncorrected energy: -6.894 eV per atom. For the formation energy without anion corrections, the calculation gives -0.529 eV per atom. The space group is P4/mbm (127). The volume comes out at 13.19 Å³/atom.

Lattice parameters (Å, degrees): 3.277 8.971 8.971 90.00 90.00 90.00
Sites, in units of the cell vectors:
Co 0.500 0.210 0.066
Co 0.500 0.066 0.790
Si 0.000 0.379 0.121
Si 0.000 0.879 0.379
Co 0.500 0.790 0.934
Co 0.500 0.934 0.210
Ge 0.000 0.500 0.500
Sc 0.000 0.824 0.676
Co 0.500 0.566 0.710
Co 0.500 0.434 0.290
Co 0.500 0.710 0.434
Co 0.500 0.000 0.500
Si 0.000 0.621 0.879
Sc 0.000 0.324 0.824
Ge 0.000 0.000 0.000
Co 0.500 0.500 0.000
Sc 0.000 0.676 0.176
Co 0.500 0.290 0.566
Si 0.000 0.121 0.621
Sc 0.000 0.176 0.324



# 18
Material: ScCoTcGe
Method: DFT, GGA-PBE
State: relaxed

Results
As for the uncorrected energy: -7.375 eV per atom. The space group is F-43m (216). The volume comes out at 14.38 Å³/atom. As for the formation energy: -270 meV/atom.

Lattice parameters (Å, degrees): 4.333 4.333 4.333 60.00 60.00 60.00
Sites, in units of the cell vectors:
Co 0.500 0.500 0.500
Sc 0.750 0.750 0.750
Tc 0.000 0.000 0.000
Ge 0.250 0.250 0.250



# 19
Material: TmScCo2Ge2
Method: DFT, GGA-PBE
State: relaxed

Results
As for the uncorrected energy: -6.362 eV per atom. The space group is P-3m1 (164). The volume comes out at 16.45 Å³/atom. As for the formation energy: -654 meV/atom.

Lattice parameters (Å, degrees): 4.166 4.166 6.567 90.00 90.00 120.00
Sites, in units of the cell vectors:
Sc 0.000 0.000 0.000
Tm 0.000 0.000 0.500
Co 0.667 0.333 0.201
Ge 0.667 0.333 0.777
Co 0.333 0.667 0.799
Ge 0.333 0.667 0.223



# 20
Material: YScCo2Ge2
Method: DFT, GGA-PBE
State: relaxed

Results
As for the uncorrected energy: -6.708 eV per atom. The space group is P-3m1 (164). The volume comes out at 16.90 Å³/atom. As for the formation energy: -668 meV/atom.

Lattice parameters (Å, degrees): 4.188 4.188 6.678 90.00 90.00 120.00
Sites, in units of the cell vectors:
Y 0.000 0.000 0.000
Ge 0.667 0.333 0.730
Co 0.333 0.667 0.641
Sc 0.000 0.000 0.500
Co 0.667 0.333 0.359
Ge 0.333 0.667 0.270